No. 1
# RbLiAs3, relaxed, DFT PBE-GGA
data_RbLiAs3
_chemical_formula_sum 'Rb1 Li1 As3'
_symmetry_space_group_name_H-M 'P 1'
_symmetry_Int_Tables_number 1
_symmetry_space_group_name_Hall 'P 1'
_cell_length_a 5.7371
_cell_length_b 5.7371
_cell_length_c 5.7371
_cell_angle_alpha 90.00
_cell_angle_beta 90.00
_cell_angle_gamma 90.00
loop_
_atom_site_label
_atom_site_fract_x
_atom_site_fract_y
_atom_site_fract_z
_atom_site_occupancy
As1 0.0000 0.5000 0.0000 1
As2 0.0000 0.0000 0.5000 1
As3 0.5000 0.0000 0.0000 1
Rb1 0.0000 0.0000 0.0000 1
Li1 0.5000 0.5000 0.5000 1
# **Formation energy from the elements**: 132.0 kJ per mole of atoms
# **Symmetry**: Pm-3m, No. 221
# **Density of states at the Fermi level**: 7.46 states/eV per cell
# **Total magnetic moment**: 0.00 μB per cell
# **Distance to the lowest polymorph of the same formula**: 1168 meV per atom

=====

No. 2
# Ca2PuSn3Rh4, relaxed, DFT PBE-GGA
data_Ca2PuSn3Rh4
_chemical_formula_sum 'Ca2 Pu1 Sn3 Rh4'
_symmetry_space_group_name_H-M 'P 1'
_symmetry_Int_Tables_number 1
_symmetry_space_group_name_Hall 'P 1'
_cell_length_a 4.4839
_cell_length_b 4.4839
_cell_length_c 11.1829
_cell_angle_alpha 90.00
_cell_angle_beta 90.00
_cell_angle_gamma 90.00
loop_
_atom_site_label
_atom_site_fract_x
_atom_site_fract_y
_atom_site_fract_z
_atom_site_occupancy
Ca1 0.5000 0.0000 0.2276 1
Ca2 0.0000 0.5000 0.7724 1
Pu1 0.5000 0.5000 0.5000 1
Sn1 0.0000 0.0000 0.5000 1
Sn2 0.5000 0.0000 0.8748 1
Sn3 0.0000 0.5000 0.1252 1
Rh1 0.5000 0.5000 0.0000 1
Rh2 0.0000 0.0000 0.0000 1
Rh3 0.5000 0.0000 0.6404 1
Rh4 0.0000 0.5000 0.3596 1
# **Formation energy from the elements**: -57.4 kJ per mole of atoms
# **Symmetry**: P-4m2, No. 115
# **Density of states at the Fermi level**: 9.42 states/eV per cell
# **Total magnetic moment**: 5.14 μB per cell

=====

No. 3
# LaTbMg, relaxed, DFT PBE-GGA
data_LaTbMg
_chemical_formula_sum 'La1 Tb1 Mg1'
_symmetry_space_group_name_H-M 'P 1'
_symmetry_Int_Tables_number 1
_symmetry_space_group_name_Hall 'P 1'
_cell_length_a 3.4227
_cell_length_b 5.5767
_cell_length_c 5.5767
_cell_angle_alpha 120.00
_cell_angle_beta 90.00
_cell_angle_gamma 90.00
loop_
_atom_site_label
_atom_site_fract_x
_atom_site_fract_y
_atom_site_fract_z
_atom_site_occupancy
Mg1 0.3063 0.3333 0.6667 1
Tb1 0.0587 0.0000 0.0000 1
La1 0.6350 0.6667 0.3333 1
# **Formation energy from the elements**: 3.2 kJ per mole of atoms
# **Symmetry**: P3m1, No. 156
# **Density of states at the Fermi level**: 3.75 states/eV per cell
# **Total magnetic moment**: 0.00 μB per cell
# **Distance to the lowest polymorph of the same formula**: 82 meV per atom

=====

No. 4
# Sr3Ag2Sn, relaxed, DFT PBE-GGA
data_Sr3Ag2Sn
_chemical_formula_sum 'Sr3 Ag2 Sn1'
_symmetry_space_group_name_H-M 'P 1'
_symmetry_Int_Tables_number 1
_symmetry_space_group_name_Hall 'P 1'
_cell_length_a 3.9378
_cell_length_b 5.6466
_cell_length_c 8.9210
_cell_angle_alpha 108.45
_cell_angle_beta 90.00
_cell_angle_gamma 90.00
loop_
_atom_site_label
_atom_site_fract_x
_atom_site_fract_y
_atom_site_fract_z
_atom_site_occupancy
Sr1 0.5000 0.5000 0.0000 1
Sr2 0.5000 0.8313 0.6627 1
Sr3 0.5000 0.1687 0.3373 1
Ag1 0.0000 0.3333 0.6666 1
Ag2 0.0000 0.6667 0.3334 1
Sn1 0.0000 0.0000 0.0000 1
# **Formation energy from the elements**: -39.8 kJ per mole of atoms
# **Symmetry**: Cmmm, No. 65
# **Density of states at the Fermi level**: 1.97 states/eV per cell
# **Total magnetic moment**: 0.00 μB per cell

=====

Which value of formation energy from the elements does entry 3 give? 3.2 kJ per mole of atoms

=====

The lowest formation energy from the elements belongs to which entry? Ca2PuSn3Rh4